# TlRh6Se8

TlRh6Se8 after structural relaxation (GGA-PBE, Alexandria via LeMat-Bulk).

Summary:
Formation energy from raw total energies = -0.336 eV per atom
Magnetic moment = 0.00 μB/cell
SG = R-3
E_tot = -79.4 eV/cell

Cell: 6.8038 6.8038 6.8038 Å, 89.58 89.58 89.58°
With the nearest neighbours (Å) after each atom.
Fractional positions:
Tl (0.0000, 0.0000, 0.0000)  8 Se 2.98-3.26
Rh (0.1868, 0.5651, 0.4090)  5 Se 2.43-2.58
Rh (0.4090, 0.1868, 0.5651)  5 Se 2.43-2.58
Rh (0.4349, 0.5910, 0.8132)  5 Se 2.43-2.58
Rh (0.5651, 0.4090, 0.1868)  5 Se 2.43-2.58
Rh (0.5910, 0.8132, 0.4349)  5 Se 2.43-2.58
Rh (0.8132, 0.4349, 0.5910)  5 Se 2.43-2.58
Se (0.1424, 0.3754, 0.7354)  4 Rh 2.48-2.58
Se (0.2510, 0.2510, 0.2510)  3 Rh 2.43
Se (0.2646, 0.8576, 0.6246)  4 Rh 2.48-2.58
Se (0.3754, 0.7354, 0.1424)  4 Rh 2.48-2.58
Se (0.6246, 0.2646, 0.8576)  4 Rh 2.48-2.58
Se (0.7354, 0.1424, 0.3754)  4 Rh 2.48-2.58
Se (0.7490, 0.7490, 0.7490)  3 Rh 2.43
Se (0.8576, 0.6246, 0.2646)  4 Rh 2.48-2.58

# MnNbVCr

MnNbVCr after structural relaxation (GGA-PBE, Alexandria via LeMat-Bulk).

Summary:
Magnetic moment = 0.01 μB/cell
E_form = -0.08 eV/atom
SG = F-43m
E_tot = -153.2 eV/cell

Cell: 5.9904 5.9904 5.9904 Å, 90.00 90.00 90.00°
With the nearest neighbours (Å) after each atom.
Fractional positions:
Mn (0.0000, 0.0000, 0.0000)  4 Nb 2.59, 4 V 2.59
Mn (0.0000, 0.5000, 0.5000)  4 Nb 2.59, 4 V 2.59
Mn (0.5000, 0.0000, 0.5000)  4 Nb 2.59, 4 V 2.59
Mn (0.5000, 0.5000, 0.0000)  4 Nb 2.59, 4 V 2.59
Nb (0.2500, 0.2500, 0.2500)  4 Cr 2.59, 4 Mn 2.59
Nb (0.2500, 0.7500, 0.7500)  4 Cr 2.59, 4 Mn 2.59
Nb (0.7500, 0.2500, 0.7500)  4 Cr 2.59, 4 Mn 2.59
Nb (0.7500, 0.7500, 0.2500)  4 Cr 2.59, 4 Mn 2.59
V (0.2500, 0.2500, 0.7500)  4 Cr 2.59, 4 Mn 2.59
V (0.2500, 0.7500, 0.2500)  4 Cr 2.59, 4 Mn 2.59
V (0.7500, 0.2500, 0.2500)  4 Cr 2.59, 4 Mn 2.59
V (0.7500, 0.7500, 0.7500)  4 Mn 2.59, 4 Cr 2.59
Cr (0.0000, 0.0000, 0.5000)  4 Nb 2.59, 4 V 2.59
Cr (0.0000, 0.5000, 0.0000)  4 Nb 2.59, 4 V 2.59
Cr (0.5000, 0.0000, 0.0000)  4 Nb 2.59, 4 V 2.59
Cr (0.5000, 0.5000, 0.5000)  4 Nb 2.59, 4 V 2.59

# La2Dy4Pb3O2

La2Dy4Pb3O2 after structural relaxation (GGA-PBE, Alexandria via LeMat-Bulk).

Summary:
Formation energy from raw total energies = -1.435 eV per atom
Magnetic moment = 0.21 μB/cell
SG = I4/mmm
E_tot = -65.1 eV/cell

Cell: 13.4417 13.4417 13.4417 Å, 159.74 159.74 28.81°
With the nearest neighbours (Å) after each atom.
Fractional positions:
La (0.1936, 0.1936, 0.0000)  1 O 2.62
La (0.8064, 0.8064, 0.0000)  1 O 2.62
Dy (0.0813, 0.5813, 0.5000)  2 O 2.38
Dy (0.4187, 0.9187, 0.5000)  2 O 2.38
Dy (0.5813, 0.0813, 0.5000)  2 O 2.38
Dy (0.9187, 0.4187, 0.5000)  2 O 2.38
Pb (0.3266, 0.3266, 0.0000)  4 Dy 3.37, 5 La 3.38-3.46
Pb (0.5000, 0.5000, 0.0000)  8 Dy 3.17
Pb (0.6734, 0.6734, 0.0000)  4 Dy 3.37, 5 La 3.38-3.46
O (0.0930, 0.0930, 0.0000)  4 Dy 2.38, 1 La 2.62
O (0.9070, 0.9070, 0.0000)  4 Dy 2.38, 1 La 2.62

# Nb2SiAs

Nb2SiAs after structural relaxation (GGA-PBE, Alexandria via LeMat-Bulk).

Summary:
Formation energy from raw total energies = -0.286 eV per atom
Magnetic moment = 0.00 μB/cell
SG = Fm-3m
E_tot = -125.4 eV/cell

Cell: 6.3982 6.3982 6.3982 Å, 90.00 90.00 90.00°
With the nearest neighbours (Å) after each atom.
Fractional positions:
Nb (0.2500, 0.2500, 0.2500)  4 As 2.77, 4 Si 2.77
Nb (0.2500, 0.2500, 0.7500)  4 As 2.77, 4 Si 2.77
Nb (0.2500, 0.7500, 0.2500)  4 As 2.77, 4 Si 2.77
Nb (0.2500, 0.7500, 0.7500)  4 As 2.77, 4 Si 2.77
Nb (0.7500, 0.2500, 0.2500)  4 As 2.77, 4 Si 2.77
Nb (0.7500, 0.2500, 0.7500)  4 As 2.77, 4 Si 2.77
Nb (0.7500, 0.7500, 0.2500)  4 As 2.77, 4 Si 2.77
Nb (0.7500, 0.7500, 0.7500)  4 Si 2.77, 4 As 2.77
Si (0.0000, 0.0000, 0.0000)  8 Nb 2.77
Si (0.0000, 0.5000, 0.5000)  8 Nb 2.77
Si (0.5000, 0.0000, 0.5000)  8 Nb 2.77
Si (0.5000, 0.5000, 0.0000)  8 Nb 2.77
As (0.0000, 0.0000, 0.5000)  8 Nb 2.77
As (0.0000, 0.5000, 0.0000)  8 Nb 2.77
As (0.5000, 0.0000, 0.0000)  8 Nb 2.77
As (0.5000, 0.5000, 0.5000)  8 Nb 2.77

# Tm2BeAg

Tm2BeAg after structural relaxation (GGA-PBE, Alexandria via LeMat-Bulk).

Summary:
Magnetic moment = 0.00 μB/cell
E_form = -0.13 eV/atom
SG = P4/mmm
E_tot = -16.1 eV/cell

Cell: 3.4438 3.4438 7.0557 Å, 90.00 90.00 90.00°
With the nearest neighbours (Å) after each atom.
Fractional positions:
Tm (0.0000, 0.0000, 0.2294)  4 Be 2.92, 4 Ag 3.09, 1 Tm 3.24
Tm (0.0000, 0.0000, 0.7706)  4 Be 2.92, 4 Ag 3.09, 1 Tm 3.24
Be (0.5000, 0.5000, 0.0000)  8 Tm 2.92
Ag (0.5000, 0.5000, 0.5000)  8 Tm 3.09, 4 Ag 3.44

# Mn2FeSnN

Mn2FeSnN after structural relaxation (GGA-PBE, Alexandria via LeMat-Bulk).

Summary:
Formation energy from raw total energies = -0.089 eV per atom
Magnetic moment = 4.12 μB/cell
SG = P4/mmm
E_tot = -39.6 eV/cell

Cell: 3.8573 3.8573 3.9588 Å, 90.00 90.00 90.00°
With the nearest neighbours (Å) after each atom.
Fractional positions:
Mn (0.0000, 0.5000, 0.0000)  2 N 1.93
Mn (0.5000, 0.0000, 0.0000)  2 N 1.93
Fe (0.0000, 0.0000, 0.5000)  2 N 1.98
Sn (0.5000, 0.5000, 0.5000)  4 Fe 2.73, 8 Mn 2.76
N (0.0000, 0.0000, 0.0000)  4 Mn 1.93, 2 Fe 1.98

# CoHI3

CoHI3 after structural relaxation (GGA-PBE, Alexandria via LeMat-Bulk).

Summary:
Magnetic moment = 3.04 μB/cell
SG = Pm-3m
E_tot = -9.3 eV/cell

Cell: 5.0677 5.0677 5.0677 Å, 90.00 90.00 90.00°
With the nearest neighbours (Å) after each atom.
Fractional positions:
Co (0.0000, 0.0000, 0.0000)  12 I 3.58
H (0.5000, 0.5000, 0.5000)  6 I 2.53
I (0.0000, 0.5000, 0.5000)  2 H 2.53
I (0.5000, 0.0000, 0.5000)  2 H 2.53
I (0.5000, 0.5000, 0.0000)  2 H 2.53

# Na2SrLi2

Na2SrLi2 after structural relaxation (GGA-PBE, Alexandria via LeMat-Bulk).

Summary:
Magnetic moment = 0.00 μB/cell
E_form = 0.08 eV/atom
SG = P4/mbm
E_tot = -15.4 eV/cell

Cell: 9.4986 9.4986 3.7871 Å, 90.00 90.00 90.00°
With the nearest neighbours (Å) after each atom.
Fractional positions:
Na (0.1242, 0.3758, 0.0000)  6 Li 3.30-3.44, 1 Na 3.34
Na (0.3758, 0.8758, 0.0000)  6 Li 3.30-3.44, 1 Na 3.34
Na (0.6242, 0.1242, 0.0000)  6 Li 3.30-3.44, 1 Na 3.34
Na (0.8758, 0.6242, 0.0000)  6 Li 3.30-3.44, 1 Na 3.34
Sr (0.0000, 0.0000, 0.0000)  4 Na 3.76, 2 Sr 3.79, 8 Li 3.99
Sr (0.5000, 0.5000, 0.0000)  4 Na 3.76, 2 Sr 3.79, 8 Li 3.99
Li (0.1745, 0.6745, 0.5000)  6 Na 3.30-3.44
Li (0.3255, 0.1745, 0.5000)  6 Na 3.30-3.44
Li (0.6745, 0.8255, 0.5000)  6 Na 3.30-3.44
Li (0.8255, 0.3255, 0.5000)  6 Na 3.30-3.44